DFT (PBE) results for crystalline BaFeRu3 at its relaxed geometry.

a b c (Å): 4.6100 4.6100 4.6100
angles (deg): 90.00 90.00 90.00
Space group Pm-3m (No. 221)
Asymmetric unit:
Ba 0.0000 0.0000 0.0000 (multiplicity 1)
Fe 0.5000 0.5000 0.5000 (multiplicity 1)
Ru 0.0000 0.5000 0.5000 (multiplicity 3)

Calculated total energy in eV/atom: -6.644
D(E_F) in states/eV/f.u.: 7.05
Magnetization in μB/atom: 0.00